# Er2MgSc

Er2MgSc after structural relaxation (PBE-GGA, the Alexandria database).

a b c (Å): 3.5202 3.5202 8.8321
angles (deg): 90.00 90.00 90.00
With the nearest neighbours (Å) after each atom.
Atoms (fractional coordinates):
Er 0.0000 0.0000 0.2488  4 Sc 3.32, 4 Mg 3.33, 4 Er 3.52
Er 0.0000 0.0000 0.7512  4 Sc 3.32, 4 Mg 3.33, 4 Er 3.52
Mg 0.5000 0.5000 0.5000  8 Er 3.33, 4 Mg 3.52
Sc 0.5000 0.5000 0.0000  8 Er 3.32, 4 Sc 3.52

Summary:
The calculation puts the calculated formation energy at -0.014 eV per atom. The value obtained for the total energy is -4.277 eV/atom. The crystal system is tetragonal.

---

# ErMgSc

ErMgSc after structural relaxation (PBE-GGA, the Alexandria database).

a b c (Å): 3.4361 3.4361 13.2509
angles (deg): 90.00 90.00 90.00
With the nearest neighbours (Å) after each atom.
Atoms (fractional coordinates):
Er 0.0000 0.0000 0.0000  4 Sc 3.32, 4 Mg 3.35, 4 Er 3.44
Er 0.5000 0.5000 0.5000  4 Sc 3.32, 4 Mg 3.35, 4 Er 3.44
Mg 0.0000 0.0000 0.3264  4 Sc 3.18, 4 Er 3.35, 4 Mg 3.44
Mg 0.5000 0.5000 0.8264  4 Sc 3.18, 4 Er 3.35, 4 Mg 3.44
Sc 0.0000 0.0000 0.6711  4 Mg 3.18, 4 Er 3.32, 4 Sc 3.44
Sc 0.5000 0.5000 0.1711  4 Mg 3.18, 4 Er 3.32, 4 Sc 3.44

Summary:
The calculation puts the calculated formation energy at -0.018 eV per atom. The value obtained for the total energy is -4.181 eV/atom. The crystal system is tetragonal.

---

# ErMgSc2

ErMgSc2 after structural relaxation (PBE-GGA, the Alexandria database).

a b c (Å): 3.3679 3.3679 9.0033
angles (deg): 90.00 90.00 90.00
With the nearest neighbours (Å) after each atom.
Atoms (fractional coordinates):
Er 0.0000 0.0000 0.0000  8 Sc 3.36, 4 Er 3.37
Mg 0.0000 0.0000 0.5000  8 Sc 3.20, 4 Mg 3.37
Sc 0.5000 0.5000 0.2628  4 Mg 3.20, 4 Er 3.36, 4 Sc 3.37
Sc 0.5000 0.5000 0.7372  4 Mg 3.20, 4 Er 3.36, 4 Sc 3.37

Summary:
The calculation puts the calculated formation energy at 0.005 eV per atom. The value obtained for the total energy is -4.700 eV/atom. The crystal system is tetragonal.

---

# ErMgSc

ErMgSc after structural relaxation (PBE-GGA, the Alexandria database).

a b c (Å): 5.2663 5.2663 3.2503
angles (deg): 90.00 90.00 120.00
With the nearest neighbours (Å) after each atom.
Atoms (fractional coordinates):
Er 0.0000 0.0000 0.0000  2 Er 3.25, 3 Mg 3.26, 6 Sc 3.34-3.57
Mg 0.3333 0.6667 0.3592  3 Sc 3.12, 2 Mg 3.25, 3 Er 3.26
Sc 0.6667 0.3333 0.5736  3 Mg 3.12, 2 Sc 3.25, 3 Er 3.34

Summary:
The calculation puts the calculated formation energy at 0.062 eV per atom. The value obtained for the total energy is -4.101 eV/atom. The crystal system is trigonal.